Density functional theory data (PBE) for a relaxed Ac2TbSi3Pt4 crystal.

Properties
- Calculated total energy: -6.36 eV/atom
- D(E_F): 5.664 states/eV/cell
- E_form (uncorrected): -1.035 eV per atom

Geometry as CIF:
```
data_Ac2TbSi3Pt4
_chemical_formula_sum 'Ac2 Tb1 Si3 Pt4'
_cell_length_a 4.4067
_cell_length_b 4.4067
_cell_length_c 10.8667
_cell_angle_alpha 90.00
_cell_angle_beta 90.00
_cell_angle_gamma 90.00
_space_group_name_H-M_alt 'P -4 m 2'
_space_group_IT_number 115
loop_
_space_group_symop_operation_xyz
'x,y,z'
'y,-x,-z'
'-x,-y,z'
'-y,x,-z'
'-x,y,z'
'-y,-x,-z'
'x,-y,z'
'y,x,-z'
loop_
_atom_site_label
_atom_site_fract_x
_atom_site_fract_y
_atom_site_fract_z
_atom_site_occupancy
Ac1 0.0000 0.5000 0.2318 1
Tb1 0.0000 0.0000 0.5000 1
Si1 0.0000 0.5000 0.8861 1
Si2 0.5000 0.5000 0.5000 1
Pt1 0.0000 0.0000 0.0000 1
Pt2 0.0000 0.5000 0.6597 1
Pt3 0.5000 0.5000 0.0000 1
```

Density functional theory data (PBE) for a relaxed AcTb2Si2Pt7 crystal.

Properties
- Calculated total energy: -6.55 eV/atom
- D(E_F): 10.210 states/eV/cell
- E_form (uncorrected): -1.005 eV per atom

Geometry as CIF:
```
data_AcTb2Si2Pt7
_chemical_formula_sum 'Ac2 Tb4 Si4 Pt14'
_cell_length_a 5.9210
_cell_length_b 5.7849
_cell_length_c 13.9959
_cell_angle_alpha 90.00
_cell_angle_beta 98.73
_cell_angle_gamma 90.00
_space_group_name_H-M_alt 'C 1 2/m 1'
_space_group_IT_number 12
loop_
_space_group_symop_operation_xyz
'x,y,z'
'-x,-y,-z'
'-x,y,-z'
'x,-y,z'
'x+1/2,y+1/2,z'
'-x+1/2,-y+1/2,-z'
'-x+1/2,y+1/2,-z'
'x+1/2,-y+1/2,z'
loop_
_atom_site_label
_atom_site_fract_x
_atom_site_fract_y
_atom_site_fract_z
_atom_site_occupancy
Ac1 0.0000 0.0000 0.0000 1
Tb1 0.1150 0.0000 0.3625 1
Si1 0.1024 0.5000 0.2638 1
Pt1 0.0000 0.5000 0.0000 1
Pt2 0.1297 0.5000 0.4303 1
Pt3 0.1808 0.2514 0.8237 1
```

Density functional theory data (PBE) for a relaxed AcTbSi2Pt4 crystal.

Properties
- Calculated total energy: -6.43 eV/atom
- D(E_F): 3.845 states/eV/cell
- E_form (uncorrected): -0.960 eV per atom

Geometry as CIF:
```
data_AcTbSi2Pt4
_chemical_formula_sum 'Ac1 Tb1 Si2 Pt4'
_cell_length_a 4.1711
_cell_length_b 4.1711
_cell_length_c 9.4930
_cell_angle_alpha 90.00
_cell_angle_beta 90.00
_cell_angle_gamma 90.00
_space_group_name_H-M_alt 'P 4/m m m'
_space_group_IT_number 123
_space_group_name_Hall '-P 4 2'
loop_
_atom_site_label
_atom_site_fract_x
_atom_site_fract_y
_atom_site_fract_z
_atom_site_occupancy
Ac1 0.0000 0.0000 0.0000 1
Tb1 0.0000 0.0000 0.5000 1
Si1 0.5000 0.5000 0.3778 1
Pt1 0.0000 0.5000 0.2504 1
```

Density functional theory data (PBE) for a relaxed Ac8SiTe4Pt3 crystal.

Properties
- Calculated total energy: -5.57 eV/atom
- D(E_F): 36.238 states/eV/cell
- E_form (uncorrected): -1.258 eV per atom

Geometry as CIF:
```
data_Ac8SiTe4Pt3
_chemical_formula_sum 'Ac24 Si3 Te12 Pt9'
_cell_length_a 9.0236
_cell_length_b 9.0236
_cell_length_c 23.9477
_cell_angle_alpha 90.00
_cell_angle_beta 90.00
_cell_angle_gamma 120.00
_space_group_name_H-M_alt 'R -3 m'
_space_group_IT_number 166
_space_group_name_Hall '-R 3 2"'
loop_
_atom_site_label
_atom_site_fract_x
_atom_site_fract_y
_atom_site_fract_z
_atom_site_occupancy
Ac1 0.0000 0.0000 0.2380 1
Ac2 0.0044 0.5022 0.7613 1
Si1 0.0000 0.0000 0.5000 1
Te1 0.0000 0.0000 0.0000 1
Te2 0.0000 0.5000 0.0000 1
Pt1 0.0000 0.5000 0.5000 1
```

Density functional theory data (PBE) for a relaxed Ac3Si2TePt9 crystal.

Properties
- Calculated total energy: -6.11 eV/atom
- D(E_F): 6.712 states/eV/cell
- E_form (uncorrected): -0.730 eV per atom

Geometry as CIF:
```
data_Ac3Si2TePt9
_chemical_formula_sum 'Ac3 Si2 Te1 Pt9'
_cell_length_a 7.5158
_cell_length_b 7.5158
_cell_length_c 6.8983
_cell_angle_alpha 90.00
_cell_angle_beta 90.00
_cell_angle_gamma 120.00
_space_group_name_H-M_alt 'P -3 m 1'
_space_group_IT_number 164
_space_group_name_Hall '-P 3 2"'
loop_
_atom_site_label
_atom_site_fract_x
_atom_site_fract_y
_atom_site_fract_z
_atom_site_occupancy
Ac1 0.0000 0.0000 0.0000 1
Ac2 0.3333 0.6667 0.6586 1
Si1 0.3333 0.6667 0.1418 1
Te1 0.0000 0.0000 0.5000 1
Pt1 0.0000 0.5000 0.0000 1
Pt2 0.1770 0.3541 0.3109 1
```

Density functional theory data (PBE) for a relaxed Ac4SiTe2Pt crystal.

Properties
- Calculated total energy: -5.46 eV/atom
- D(E_F): 6.529 states/eV/cell
- E_form (uncorrected): -1.187 eV per atom

Geometry as CIF:
```
data_Ac4SiTe2Pt
_chemical_formula_sum 'Ac4 Si1 Te2 Pt1'
_cell_length_a 7.9163
_cell_length_b 4.5582
_cell_length_c 8.2720
_cell_angle_alpha 90.00
_cell_angle_beta 108.07
_cell_angle_gamma 90.00
_space_group_name_H-M_alt 'P 1 2/m 1'
_space_group_IT_number 10
loop_
_space_group_symop_operation_xyz
'x,y,z'
'-x,-y,-z'
'-x,y,-z'
'x,-y,z'
loop_
_atom_site_label
_atom_site_fract_x
_atom_site_fract_y
_atom_site_fract_z
_atom_site_occupancy
Ac1 0.2381 0.0000 0.2182 1
Ac2 0.2558 0.5000 0.7812 1
Si1 0.5000 0.0000 0.0000 1
Te1 0.0000 0.0000 0.5000 1
Te2 0.5000 0.5000 0.5000 1
Pt1 0.0000 0.5000 0.0000 1
```

Density functional theory data (PBE) for a relaxed Ac2ThSi3Pt4 crystal.

Properties
- Calculated total energy: -6.61 eV/atom
- D(E_F): 7.076 states/eV/cell
- E_form (uncorrected): -0.998 eV per atom

Geometry as CIF:
```
data_Ac2ThSi3Pt4
_chemical_formula_sum 'Ac2 Th1 Si3 Pt4'
_cell_length_a 4.4137
_cell_length_b 4.4137
_cell_length_c 11.1626
_cell_angle_alpha 90.00
_cell_angle_beta 90.00
_cell_angle_gamma 90.00
_space_group_name_H-M_alt 'P -4 m 2'
_space_group_IT_number 115
loop_
_space_group_symop_operation_xyz
'x,y,z'
'y,-x,-z'
'-x,-y,z'
'-y,x,-z'
'-x,y,z'
'-y,-x,-z'
'x,-y,z'
'y,x,-z'
loop_
_atom_site_label
_atom_site_fract_x
_atom_site_fract_y
_atom_site_fract_z
_atom_site_occupancy
Ac1 0.0000 0.5000 0.2274 1
Th1 0.0000 0.0000 0.5000 1
Si1 0.0000 0.5000 0.8903 1
Si2 0.5000 0.5000 0.5000 1
Pt1 0.0000 0.0000 0.0000 1
Pt2 0.0000 0.5000 0.6704 1
Pt3 0.5000 0.5000 0.0000 1
```

Density functional theory data (PBE) for a relaxed AcThSi2Pt2 crystal.

Properties
- Calculated total energy: -6.87 eV/atom
- D(E_F): 4.085 states/eV/cell
- E_form (uncorrected): -1.124 eV per atom

Geometry as CIF:
```
data_AcThSi2Pt2
_chemical_formula_sum 'Ac1 Th1 Si2 Pt2'
_cell_length_a 4.2820
_cell_length_b 4.2820
_cell_length_c 8.5751
_cell_angle_alpha 90.00
_cell_angle_beta 90.00
_cell_angle_gamma 120.00
_space_group_name_H-M_alt 'P -3 m 1'
_space_group_IT_number 164
_space_group_name_Hall '-P 3 2"'
loop_
_atom_site_label
_atom_site_fract_x
_atom_site_fract_y
_atom_site_fract_z
_atom_site_occupancy
Ac1 0.0000 0.0000 0.0000 1
Th1 0.0000 0.0000 0.5000 1
Si1 0.3333 0.6667 0.7316 1
Pt1 0.3333 0.6667 0.2637 1
```

Density functional theory data (PBE) for a relaxed AcThSiPt crystal.

Properties
- Calculated total energy: -6.33 eV/atom
- D(E_F): 19.048 states/eV/cell
- E_form (uncorrected): -0.585 eV per atom

Geometry as CIF:
```
data_AcThSiPt
_chemical_formula_sum 'Ac4 Th4 Si4 Pt4'
_cell_length_a 7.4377
_cell_length_b 7.4377
_cell_length_c 7.4377
_cell_angle_alpha 90.00
_cell_angle_beta 90.00
_cell_angle_gamma 90.00
_space_group_name_H-M_alt 'F -4 3 m'
_space_group_IT_number 216
_space_group_name_Hall 'F -4 2 3'
loop_
_atom_site_label
_atom_site_fract_x
_atom_site_fract_y
_atom_site_fract_z
_atom_site_occupancy
Ac1 0.0000 0.0000 0.0000 1
Th1 0.0000 0.0000 0.5000 1
Si1 0.2500 0.2500 0.2500 1
Pt1 0.2500 0.2500 0.7500 1
```

Density functional theory data (PBE) for a relaxed Ac2TiSi3Pt12 crystal.

Properties
- Calculated total energy: -6.40 eV/atom
- D(E_F): 22.168 states/eV/cell
- E_form (uncorrected): -0.575 eV per atom

Geometry as CIF:
```
data_Ac2TiSi3Pt12
_chemical_formula_sum 'Ac6 Ti3 Si9 Pt36'
_cell_length_a 8.2257
_cell_length_b 8.2257
_cell_length_c 19.0927
_cell_angle_alpha 90.00
_cell_angle_beta 90.00
_cell_angle_gamma 120.00
_space_group_name_H-M_alt 'R -3 m'
_space_group_IT_number 166
_space_group_name_Hall '-R 3 2"'
loop_
_atom_site_label
_atom_site_fract_x
_atom_site_fract_y
_atom_site_fract_z
_atom_site_occupancy
Ac1 0.0000 0.0000 0.1122 1
Ti1 0.0000 0.0000 0.5000 1
Si1 0.0000 0.5000 0.0000 1
Pt1 0.0042 0.5021 0.1232 1
Pt2 0.0336 0.5168 0.3661 1
```

What is the E_form (uncorrected) in the sixth record? -1.187 eV per atom

Look up the D(E_F) of the tenth one. 22.168 states/eV/cell